Entry 1:
# HgRhS

A geometry-optimized HgRhS structure (PBE-GGA, Alexandria via LeMat-Bulk).

extended XYZ file:
```
6
Lattice="6.003 0.000 0.000 0.000 3.301 0.000 -1.431 0.000 5.876" Properties=species:S:1:pos:R:3 pbc="T T T"
Hg 0.502 0.825 2.058
Hg 4.070 2.475 3.818
Rh 0.014 2.475 5.829
Rh 4.558 0.825 0.047
S 1.076 0.825 4.647
S 3.496 2.475 1.229
```

Values from the calculation:
Uncorrected energy (eV per atom): -4.045
Density of states at the Fermi level (states/eV/f.u.): 1.633

Entry 2:
# HgRh2S

A geometry-optimized HgRh2S structure (PBE-GGA, Alexandria via LeMat-Bulk).

extended XYZ file:
```
4
Lattice="1.601 0.925 7.404 -1.601 0.925 7.404 0.000 -1.849 7.404" Properties=species:S:1:pos:R:3 pbc="T T T"
Hg 0.000 0.000 0.000
Rh 0.000 0.000 5.174
Rh 0.000 0.000 17.037
S 0.000 0.000 11.106
```

Values from the calculation:
Uncorrected energy (eV per atom): -4.808
Density of states at the Fermi level (states/eV/f.u.): 2.012

Entry 3:
# HgRhS2

A geometry-optimized HgRhS2 structure (PBE-GGA, Alexandria via LeMat-Bulk).

extended XYZ file:
```
4
Lattice="1.802 1.040 7.639 -1.802 1.040 7.639 0.000 -2.081 7.639" Properties=species:S:1:pos:R:3 pbc="T T T"
Hg 0.000 0.000 0.000
Rh 0.000 0.000 11.459
S 0.000 0.000 2.651
S 0.000 0.000 20.266
```

Values from the calculation:
Uncorrected energy (eV per atom): -4.237
Density of states at the Fermi level (states/eV/f.u.): 2.849